Entry 1:
# La4CdSn

A relaxed La4CdSn crystal (PBE-GGA, the Alexandria database).

Cell: 5.0799 5.0799 8.9483 Å, 98.81 98.81 67.44°
Positions (direct):
La 0.1265 0.1265 0.3689
La 0.3280 0.3280 0.8469
La 0.6720 0.6720 0.1531
La 0.8735 0.8735 0.6311
Cd 0.5000 0.5000 0.5000
Sn 0.0000 0.0000 0.0000

Output
The density of states at the Fermi level is 7.8 states/eV/f.u. Its symmetry is C2/m. Its electronic total energy is -4.355 eV/atom. As for the formation energy: -0.2504 eV/atom. The value obtained for the energy above the most stable polymorph in this dataset is 0.000 eV/f.u.

Entry 2:
# La2Cd2Sn

A relaxed La2Cd2Sn crystal (PBE-GGA, the Alexandria database).

Cell: 6.3323 6.3323 11.6151 Å, 113.52 113.52 45.09°
Positions (direct):
La 0.0130 0.0130 0.3334
La 0.1817 0.1817 0.1003
La 0.8183 0.8183 0.8997
La 0.9870 0.9870 0.6666
Cd 0.3600 0.3600 0.4475
Cd 0.4667 0.4667 0.1115
Cd 0.5333 0.5333 0.8885
Cd 0.6400 0.6400 0.5525
Sn 0.2795 0.2795 0.6734
Sn 0.7205 0.7205 0.3266

Output
The density of states at the Fermi level is 4.6 states/eV/f.u. Its symmetry is C2/m. Its electronic total energy is -3.604 eV/atom. As for the formation energy: -0.4662 eV/atom.